BiAsSe2O: optimized geometry, GGA-PBEsol.

Total magnetization = 0.00 μB per cell
Uncorrected formation energy = 13.9 kJ/mol of atoms

Unit cell a=4.603 b=4.603 c=4.429 alpha=90.00 beta=90.00 gamma=90.00
Space group P4/mmm (No. 123)
Unique sites:
1 Bi 0.000 0.000 0.000 (multiplicity 1)
2 As 0.500 0.500 0.000 (multiplicity 1)
3 Se 0.000 0.500 0.500 (multiplicity 2)
4 O 0.500 0.500 0.500 (multiplicity 1)

Bi2AsOs: optimized geometry, GGA-PBEsol.

Total magnetization = 0.00 μB per cell
ΔE_f = 888 meV per atom

Unit cell a=6.306 b=6.306 c=12.317 alpha=90.00 beta=90.00 gamma=90.00
Space group I-42d (No. 122)
Unique sites:
1 Bi 0.220 0.250 0.125 (multiplicity 8)
2 As 0.000 0.000 0.500 (multiplicity 4)
3 Os 0.000 0.000 0.000 (multiplicity 4)

BiAsP2: optimized geometry, GGA-PBEsol.

Total magnetization = 0.00 μB per cell
ΔE_f = 513 meV per atom

Unit cell a=6.766 b=6.766 c=6.766 alpha=90.00 beta=90.00 gamma=90.00
Space group Fm-3m (No. 225)
Unique sites:
1 Bi 0.000 0.000 0.000 (multiplicity 4)
2 As 0.000 0.000 0.500 (multiplicity 4)
3 P 0.250 0.250 0.250 (multiplicity 8)

Bi2AsPPt: optimized geometry, GGA-PBEsol.

Total magnetization = 0.00 μB per cell
Excess energy over the best structure of this formula in the dataset = 1.90 eV/f.u.
ΔE_f = 999 meV per atom

Unit cell a=5.386 b=5.386 c=4.458 alpha=90.00 beta=90.00 gamma=90.00
Space group P4/mmm (No. 123)
Unique sites:
1 Bi 0.000 0.500 0.000 (multiplicity 2)
2 As 0.000 0.000 0.000 (multiplicity 1)
3 P 0.000 0.000 0.500 (multiplicity 1)
4 Pt 0.500 0.500 0.500 (multiplicity 1)

Bi2AsPPt: optimized geometry, GGA-PBEsol.

Total magnetization = 0.00 μB per cell
Excess energy over the best structure of this formula in the dataset = 0.00 eV/f.u.
ΔE_f = 619 meV per atom

Unit cell a=5.550 b=5.550 c=4.444 alpha=90.00 beta=90.00 gamma=90.00
Space group P4/mmm (No. 123)
Unique sites:
1 Bi 0.000 0.500 0.000 (multiplicity 2)
2 As 0.000 0.000 0.500 (multiplicity 1)
3 P 0.500 0.500 0.500 (multiplicity 1)
4 Pt 0.000 0.000 0.000 (multiplicity 1)

BiAsPS2: optimized geometry, GGA-PBEsol.

Total magnetization = 0.00 μB per cell
Uncorrected formation energy = 111.4 kJ/mol of atoms

Unit cell a=5.037 b=5.037 c=5.222 alpha=90.00 beta=90.00 gamma=90.00
Space group P4/mmm (No. 123)
Unique sites:
1 Bi 0.000 0.000 0.000 (multiplicity 1)
2 As 0.500 0.500 0.500 (multiplicity 1)
3 P 0.000 0.000 0.500 (multiplicity 1)
4 S 0.000 0.500 0.000 (multiplicity 2)

BiAs2Pb: optimized geometry, GGA-PBEsol.

Total magnetization = 0.00 μB per cell
ΔE_f = 189 meV per atom

Unit cell a=7.268 b=7.268 c=7.268 alpha=90.00 beta=90.00 gamma=90.00
Space group Fm-3m (No. 225)
Unique sites:
1 Bi 0.000 0.000 0.000 (multiplicity 4)
2 As 0.250 0.250 0.250 (multiplicity 8)
3 Pb 0.000 0.000 0.500 (multiplicity 4)

Bi3AsPd: optimized geometry, GGA-PBEsol.

Total magnetization = 0.00 μB per cell
ΔE_f = 856 meV per atom

Unit cell a=5.402 b=5.402 c=5.402 alpha=90.00 beta=90.00 gamma=90.00
Space group Pm-3m (No. 221)
Unique sites:
1 Bi 0.000 0.000 0.500 (multiplicity 3)
2 As 0.000 0.000 0.000 (multiplicity 1)
3 Pd 0.500 0.500 0.500 (multiplicity 1)

BiAs2Pd2: optimized geometry, GGA-PBEsol.

Total magnetization = 0.00 μB per cell
ΔE_f = -170 meV per atom

Unit cell a=4.011 b=4.011 c=11.914 alpha=90.00 beta=90.00 gamma=90.00
Space group I4/mmm (No. 139)
Unique sites:
1 Bi 0.000 0.000 0.000 (multiplicity 2)
2 As 0.000 0.500 0.250 (multiplicity 4)
3 Pd 0.000 0.000 0.387 (multiplicity 4)

Re2BiAsPd: optimized geometry, GGA-PBEsol.

Total magnetization = 3.21 μB per cell
ΔE_f = 2595 meV per atom

Unit cell a=5.012 b=5.012 c=4.846 alpha=90.00 beta=90.00 gamma=90.00
Space group P4/mmm (No. 123)
Unique sites:
1 Re 0.000 0.500 0.000 (multiplicity 2)
2 Bi 0.000 0.000 0.000 (multiplicity 1)
3 As 0.500 0.500 0.500 (multiplicity 1)
4 Pd 0.000 0.000 0.500 (multiplicity 1)